(1)
The following is a DFT calculation (PBE) of a relaxed structure of TbSm4Dy3S8.

Values from the calculation:
uncorrected formation energy = -2.01 eV/atom
raw total energy = -102.5 eV per cell

Cell and atoms, written as POSCAR:
```
TbSm4Dy3S8
1.0
-7.7324 0.0806 -1.6144
1.5123 -2.5497 -7.3709
2.6982 -4.0848 6.1999
Sm S Dy Tb
4 8 3 1
direct
0.5000 0.0000 0.5000
0.0000 0.0000 0.5000
0.5000 0.0000 0.0000
0.0000 0.0000 0.0000
0.7528 0.2599 0.5056
0.7528 0.2599 0.0072
0.7456 0.7401 0.9928
0.2472 0.7401 0.4944
0.2536 0.2607 0.5071
0.2472 0.7401 0.9928
0.7464 0.7393 0.4929
0.2544 0.2599 0.0072
0.5000 0.5000 0.5000
0.0000 0.5000 0.5000
0.5000 0.5000 0.0000
0.0000 0.5000 0.0000
```

=====

(2)
The following is a DFT calculation (PBE) of a relaxed structure of TbPr5Cd6.

Values from the calculation:
ΔE_f = -0.316 eV per atom
raw total energy = -37.8 eV per cell

Cell and atoms, written as POSCAR:
```
TbPr5Cd6
1.0
5.1637 -0.0308 1.7259
0.0417 7.7604 0.0139
0.0006 -0.0154 8.6310
Pr Cd Tb
5 6 1
direct
0.0000 0.5000 0.0000
0.6685 0.5000 0.6627
0.6661 0.0000 0.6675
0.3339 0.0000 0.3325
0.3315 0.5000 0.3373
0.8373 0.7549 0.3261
0.1627 0.7549 0.6739
0.5000 0.2432 0.0000
0.8373 0.2451 0.3261
0.5000 0.7568 0.0000
0.1627 0.2451 0.6739
0.0000 0.0000 0.0000
```

=====

(3)
The following is a DFT calculation (PBE) of a relaxed structure of Dy4PuPd5.

Values from the calculation:
ΔE_f = -0.788 eV per atom
raw total energy = -66.6 eV per cell

Cell and atoms, written as POSCAR:
```
Dy4PuPd5
1.0
-2.9772 -0.9203 -1.5155
1.7584 -1.1519 -2.7548
1.1840 -16.2989 7.5714
Dy Pd Pu
4 5 1
direct
0.0000 0.0000 0.2010
0.0000 0.0000 0.5995
0.0000 0.0000 0.4005
0.0000 0.0000 0.7990
0.5000 0.5000 0.5000
0.5000 0.5000 0.3025
0.5000 0.5000 0.1088
0.5000 0.5000 0.6975
0.5000 0.5000 0.8912
0.0000 0.0000 0.0000
```

=====

(4)
The following is a DFT calculation (PBE) of a relaxed structure of Li2Zn6Pt.

Values from the calculation:
offset from the most stable computed form = 46.5 meV/atom
ΔE_f = -0.274 eV per atom
raw total energy = -20.0 eV per cell

Cell and atoms, written as POSCAR:
```
Li2Zn6Pt
1.0
-3.7209 1.8469 2.9644
4.4650 -0.5956 5.9756
-0.7894 3.3140 -3.7655
Zn Pt Li
6 1 2
direct
0.8339 0.5006 0.6673
0.5000 0.8337 0.0000
0.8339 0.1667 0.6673
0.5000 0.1663 0.0000
0.1661 0.8333 0.3327
0.1661 0.4994 0.3327
0.0000 0.0000 0.0000
0.6673 0.6683 0.3366
0.3327 0.3317 0.6634
```

=====

(5)
The following is a DFT calculation (PBE) of a relaxed structure of HfTc2B2.

Values from the calculation:
offset from the most stable computed form = 0.0 meV/atom
ΔE_f = -0.395 eV per atom
raw total energy = -92.0 eV per cell

Cell and atoms, written as POSCAR:
```
HfTc2B2
1.0
6.2613 0.0000 0.0000
0.0000 6.2613 0.0000
0.0000 0.0000 3.0588
B Hf Tc
4 2 4
direct
0.3908 0.8908 0.0000
0.8908 0.6092 0.0000
0.6092 0.1092 0.0000
0.1092 0.3908 0.0000
0.5000 0.5000 0.0000
0.0000 0.0000 0.0000
0.8373 0.3373 0.5000
0.3373 0.1627 0.5000
0.1627 0.6627 0.5000
0.6627 0.8373 0.5000
```

=====

(6)
The following is a DFT calculation (PBE) of a relaxed structure of BaMn2CdSe4.

Values from the calculation:
uncorrected formation energy = -0.70 eV/atom
raw total energy = -81.5 eV per cell

Cell and atoms, written as POSCAR:
```
BaMn2CdSe4
1.0
-0.5999 -3.7594 1.6361
6.7954 1.9646 1.7585
-4.8780 6.0436 12.0981
Mn Se Cd Ba
4 8 2 2
direct
0.3773 0.7547 0.9567
0.6227 0.2453 0.0433
0.3773 0.7547 0.5433
0.6227 0.2453 0.4567
0.7510 0.5020 0.8997
0.0000 0.0000 0.5000
0.0000 0.0000 0.0000
0.5307 0.0615 0.2500
0.7510 0.5020 0.6003
0.4693 0.9385 0.7500
0.2490 0.4980 0.1003
0.2490 0.4980 0.3997
0.1401 0.2803 0.2500
0.8599 0.7197 0.7500
0.1405 0.2810 0.7500
0.8595 0.7190 0.2500
```

=====

(7)
The following is a DFT calculation (PBE) of a relaxed structure of Pm2Pr6Nd3.

Values from the calculation:
offset from the most stable computed form = 0.0 meV/atom
ΔE_f = 0.009 eV per atom
raw total energy = -52.4 eV per cell

Cell and atoms, written as POSCAR:
```
Pm2Pr6Nd3
1.0
-3.2837 0.9229 -1.4175
-0.8967 -1.0573 -3.4237
-14.4796 -28.0561 10.4644
Pr Nd Pm
6 3 2
direct
0.0911 0.0911 0.7267
0.1820 0.1820 0.4540
0.6363 0.6363 0.0911
0.9089 0.9089 0.2733
0.8180 0.8180 0.5460
0.3637 0.3637 0.9089
0.0000 0.0000 0.0000
0.7274 0.7274 0.8179
0.2726 0.2726 0.1821
0.5454 0.5454 0.3637
0.4546 0.4546 0.6363
```

=====

(8)
The following is a DFT calculation (PBE) of a relaxed structure of AlZn2Si2Pd5.

Values from the calculation:
uncorrected formation energy = -0.48 eV/atom
raw total energy = -95.7 eV per cell

Cell and atoms, written as POSCAR:
```
AlZn2Si2Pd5
1.0
-2.7109 1.0411 0.4875
-3.6004 -5.8104 -7.6129
-1.7297 -7.6049 6.6222
Zn Pd Si Al
4 10 4 2
direct
0.0000 0.8480 0.6520
0.0000 0.6520 0.1520
0.0000 0.1520 0.3480
0.0000 0.3480 0.8480
0.5000 0.6665 0.3702
0.5000 0.5000 0.0000
0.5000 0.1665 0.1298
0.5000 0.8335 0.8702
0.5000 0.3335 0.6298
0.5000 0.1298 0.8335
0.5000 0.3702 0.3335
0.5000 0.6298 0.6665
0.5000 0.0000 0.5000
0.5000 0.8702 0.1665
0.0000 0.6401 0.8599
0.0000 0.1401 0.6401
0.0000 0.8599 0.3599
0.0000 0.3599 0.1401
0.0000 0.0000 0.0000
0.0000 0.5000 0.5000
```

=====

(9)
The following is a DFT calculation (PBE) of a relaxed structure of Rb2CdTeS4.

Values from the calculation:
uncorrected formation energy = -0.51 eV/atom
raw total energy = -53.2 eV per cell

Cell and atoms, written as POSCAR:
```
Rb2CdTeS4
1.0
6.5265 0.0000 0.0000
3.2632 7.3335 0.0000
3.2632 0.0000 11.6914
S Rb Cd Te
8 4 2 2
direct
0.1979 0.2118 0.8935
0.9087 0.7882 0.8935
0.1597 0.2882 0.3935
0.5521 0.2882 0.6065
0.4469 0.7118 0.3935
0.8413 0.7118 0.6065
0.3031 0.7882 0.1065
0.5903 0.2118 0.1065
0.1803 0.0000 0.6395
0.5697 0.5000 0.8605
0.8197 0.0000 0.3605
0.9303 0.5000 0.1395
0.7500 0.5000 0.5000
0.0000 0.0000 0.0000
0.2500 0.5000 0.5000
0.5000 0.0000 0.0000
```

=====

(10)
The following is a DFT calculation (PBE) of a relaxed structure of Dy2AlAg.

Values from the calculation:
ΔE_f = -0.121 eV per atom
raw total energy = -16.3 eV per cell

Cell and atoms, written as POSCAR:
```
Dy2AlAg
1.0
-3.3791 1.1228 0.2360
-2.6709 -2.3666 -0.0017
-1.5512 -0.9466 9.2736
Dy Al Ag
2 1 1
direct
0.7479 0.7479 0.7562
0.2521 0.2521 0.2438
0.0000 0.0000 0.0000
0.5000 0.5000 0.5000
```

=====

(11)
The following is a DFT calculation (PBE) of a relaxed structure of PaRe3B3.

Values from the calculation:
ΔE_f = -0.232 eV per atom
raw total energy = -137.0 eV per cell

Cell and atoms, written as POSCAR:
```
PaRe3B3
1.0
3.1207 0.0000 0.0000
0.0000 7.0965 -4.0517
0.0000 -0.0397 8.1715
B Re Pa
6 6 2
direct
0.7500 0.5708 0.5328
0.2500 0.0380 0.5708
0.2500 0.5328 0.9620
0.2500 0.4292 0.4672
0.7500 0.4672 0.0380
0.7500 0.9620 0.4292
0.2500 0.0812 0.3136
0.7500 0.3135 0.2324
0.7500 0.7676 0.0812
0.2500 0.2324 0.9188
0.2500 0.6865 0.7676
0.7500 0.9188 0.6864
0.7500 0.3333 0.6667
0.2500 0.6667 0.3333
```

=====

(12)
The following is a DFT calculation (PBE) of a relaxed structure of MgInRh.

Values from the calculation:
ΔE_f = -0.300 eV per atom
raw total energy = -12.6 eV per cell

Cell and atoms, written as POSCAR:
```
MgInRh
1.0
4.4881 0.0000 0.0000
-2.2441 3.8868 0.0000
0.0000 0.0000 3.0657
In Rh Mg
1 1 1
direct
0.0000 0.0000 0.9723
0.3333 0.6667 0.6531
0.6667 0.3333 0.3746
```

=====

(13)
The following is a DFT calculation (PBE) of a relaxed structure of KHg2As.

Values from the calculation:
ΔE_f = -0.101 eV per atom
raw total energy = -6.8 eV per cell

Cell and atoms, written as POSCAR:
```
KHg2As
1.0
-1.1018 8.1067 -0.6089
-5.9362 5.5851 0.9335
4.3458 -6.4846 2.5234
Hg As K
2 1 1
direct
0.0746 0.0746 0.0000
0.7425 0.2425 0.5000
0.2475 0.7475 0.5000
0.4354 0.4354 0.0000
```

=====

(14)
The following is a DFT calculation (PBE) of a relaxed structure of CaLaNdCd.

Values from the calculation:
offset from the most stable computed form = 0.0 meV/atom
ΔE_f = -0.141 eV per atom
raw total energy = -13.2 eV per cell

Cell and atoms, written as POSCAR:
```
CaLaNdCd
1.0
3.7321 0.0000 0.0000
0.0000 3.7321 0.0000
0.0000 0.0000 9.6259
La Cd Nd Ca
1 1 1 1
direct
0.5000 0.5000 0.3471
0.0000 0.0000 0.5743
0.0000 0.0000 0.0798
0.5000 0.5000 0.7835
```

=====

(15)
The following is a DFT calculation (PBE) of a relaxed structure of La12Co5As3.

Values from the calculation:
ΔE_f = -0.329 eV per atom
raw total energy = -460.7 eV per cell

Cell and atoms, written as POSCAR:
```
La12Co5As3
1.0
14.6278 0.0000 0.0000
-4.8759 13.7912 0.0000
-4.8759 -6.8956 11.9436
La Co As
48 20 12
direct
0.3754 0.9688 0.7915
0.6246 0.0312 0.2085
0.0934 0.1773 0.4688
0.1773 0.0934 0.9688
0.3754 0.4066 0.0839
0.4688 0.6773 0.0934
0.1246 0.7085 0.5312
0.2915 0.4161 0.8227
0.5312 0.2085 0.1246
0.2085 0.6773 0.0839
0.9066 0.8227 0.5312
0.9161 0.8227 0.7915
0.4161 0.1246 0.5934
0.5934 0.9688 0.6773
0.3227 0.7915 0.4161
0.8754 0.5839 0.9066
0.5934 0.6246 0.4161
0.8754 0.2915 0.4688
0.7085 0.5839 0.1773
0.6773 0.4688 0.5934
0.2915 0.8754 0.9688
0.0839 0.9066 0.3754
0.8227 0.9066 0.0312
0.4066 0.3754 0.5839
0.0312 0.6246 0.7085
0.3227 0.5312 0.4066
0.0312 0.4066 0.8227
0.0839 0.1773 0.2085
0.9066 0.0839 0.8754
0.7915 0.4688 0.3754
0.5839 0.8754 0.4066
0.2085 0.5312 0.6246
0.0934 0.9161 0.1246
0.5312 0.3227 0.9066
0.9688 0.3754 0.2915
0.5839 0.7085 0.6773
0.1773 0.0839 0.7085
0.1246 0.4161 0.0934
0.8227 0.9161 0.2915
0.7915 0.3227 0.9161
0.4066 0.0312 0.3227
0.7085 0.1246 0.0312
0.9688 0.5934 0.1773
0.6246 0.5934 0.9161
0.4161 0.2915 0.3227
0.4688 0.7915 0.8754
0.6773 0.2085 0.5839
0.9161 0.0934 0.6246
0.7500 0.1250 0.8750
0.3750 0.1250 0.7500
0.0000 0.0000 0.0000
0.5000 0.0000 0.0000
0.7500 0.6250 0.3750
0.5000 0.0000 0.5000
0.3750 0.2500 0.1250
0.6250 0.7500 0.8750
0.5000 0.5000 0.0000
0.0000 0.5000 0.5000
0.6250 0.8750 0.2500
0.2500 0.8750 0.1250
0.8750 0.2500 0.6250
0.5000 0.5000 0.5000
0.2500 0.3750 0.6250
0.8750 0.6250 0.7500
0.1250 0.3750 0.2500
0.1250 0.7500 0.3750
0.0000 0.5000 0.0000
0.0000 0.0000 0.5000
0.8750 0.1250 0.2500
0.1250 0.8750 0.7500
0.6250 0.2500 0.3750
0.2500 0.1250 0.3750
0.7500 0.8750 0.6250
0.8750 0.7500 0.1250
0.3750 0.6250 0.2500
0.2500 0.6250 0.8750
0.7500 0.3750 0.1250
0.1250 0.2500 0.8750
0.3750 0.7500 0.6250
0.6250 0.3750 0.7500
```

=====

(16)
The following is a DFT calculation (PBE) of a relaxed structure of Tc3PdSe.

Values from the calculation:
uncorrected formation energy = 2.08 eV/atom
offset from the most stable computed form = 926.0 meV/atom
raw total energy = -29.4 eV per cell

Cell and atoms, written as POSCAR:
```
Tc3PdSe
1.0
-3.4124 -0.3711 -3.5269
-1.0860 -4.5500 1.5294
-3.3760 1.8387 3.0729
Se Tc Pd
1 3 1
direct
0.5000 0.5000 0.5000
0.0000 0.5000 0.0000
0.0000 0.0000 0.5000
0.5000 0.0000 0.0000
0.0000 0.0000 0.0000
```

=====

(17)
The following is a DFT calculation (PBE) of a relaxed structure of Er2LuGe.

Values from the calculation:
ΔE_f = -0.208 eV per atom
raw total energy = -19.1 eV per cell

Cell and atoms, written as POSCAR:
```
Er2LuGe
1.0
-1.6750 -0.3859 3.1378
1.1546 -2.4314 2.3570
5.8631 5.8619 5.8903
Er Ge Lu
2 1 1
direct
0.2641 0.2641 0.2078
0.7359 0.7359 0.7922
0.0000 0.0000 0.0000
0.5000 0.5000 0.5000
```

=====

(18)
The following is a DFT calculation (PBE) of a relaxed structure of Pm5Nd2YTm.

Values from the calculation:
ΔE_f = 0.273 eV per atom
raw total energy = -83.5 eV per cell

Cell and atoms, written as POSCAR:
```
Pm5Nd2YTm
1.0
8.6324 0.0000 0.0000
0.0000 8.6324 0.0000
-4.3162 -4.3162 8.2970
Nd Pm Tm Y
4 10 2 2
direct
0.8789 0.6211 0.0000
0.1211 0.3789 0.0000
0.6211 0.1211 0.0000
0.3789 0.8789 0.0000
0.6401 0.1401 0.7145
0.0000 0.0000 0.0000
0.0744 0.5744 0.7145
0.5000 0.5000 0.0000
0.9256 0.4256 0.2855
0.1401 0.0744 0.7145
0.8599 0.9256 0.2855
0.4256 0.3599 0.2855
0.5744 0.6401 0.7145
0.3599 0.8599 0.2855
0.2500 0.7500 0.5000
0.7500 0.2500 0.5000
0.7500 0.7500 0.5000
0.2500 0.2500 0.5000
```

=====

(19)
The following is a DFT calculation (PBE) of a relaxed structure of In2ReW.

Values from the calculation:
offset from the most stable computed form = 464.8 meV/atom
ΔE_f = 0.728 eV per atom
raw total energy = -28.0 eV per cell

Cell and atoms, written as POSCAR:
```
In2ReW
1.0
5.5462 0.0023 -0.0011
2.5398 4.9305 0.0011
-3.4539 -3.4321 2.6555
Re W In
1 1 2
direct
0.2500 0.7500 0.5000
0.7500 0.2500 0.5000
0.0056 0.0056 0.0000
0.4944 0.4944 0.0000
```